No. 1
V4NiGe | PBE | relaxed

Its raw total energy is -7.9158 eV/atom. The energy of formation from the pure elements is -0.104 eV per atom. The calculated volume is 79.9 Å³ per cell.

It has space group P4/mmm (No. 123), with a = 3.1348 Å, b = 3.1348 Å, c = 8.1312 Å, α = 90.00°, β = 90.00° and γ = 90.00°. Symmetry generates all atoms from V at (0.0000, 0.0000, 0.1670), V at (0.5000, 0.5000, 0.3295), Ni at (0.5000, 0.5000, 0.0000) and Ge at (0.0000, 0.0000, 0.5000).

No. 2
VNiGe3 | PBE | relaxed

Its raw total energy is -5.0514 eV/atom. The energy of formation from the pure elements is 0.699 eV per atom. The calculated volume is 103.6 Å³ per cell.

It has space group Pm-3m (No. 221), with a = 4.6963 Å, b = 4.6963 Å, c = 4.6963 Å, α = 90.00°, β = 90.00° and γ = 90.00°. Symmetry generates all atoms from V at (0.0000, 0.0000, 0.0000), Ni at (0.5000, 0.5000, 0.5000) and Ge at (0.0000, 0.0000, 0.5000).

No. 3
V12NiGe6 | PBE | relaxed

Its raw total energy is -7.6761 eV/atom. The energy of formation from the pure elements is -0.155 eV per atom. The calculated volume is 788.8 Å³ per cell.

It has space group R-3 (No. 148, hexagonal axes), with a = 9.0161 Å, b = 9.0161 Å, c = 11.2052 Å, α = 90.00°, β = 90.00° and γ = 120.00°. Symmetry generates all atoms from V at (0.0576, 0.1883, 0.3038), V at (0.0692, 0.8435, 0.9132), Ni at (0.0000, 0.0000, 0.5000) and Ge at (0.0288, 0.4416, 0.2151).

No. 4
VNi2Ge2 | PBE | relaxed

Its raw total energy is -6.1352 eV/atom. The energy of formation from the pure elements is -0.152 eV per atom. The calculated volume is 131.2 Å³ per cell.

It has space group P4/mbm (No. 127), with a = 6.9165 Å, b = 6.9165 Å, c = 2.7420 Å, α = 90.00°, β = 90.00° and γ = 90.00°. Symmetry generates all atoms from V at (0.0000, 0.0000, 0.0000), Ni at (0.1420, 0.3580, 0.5000) and Ge at (0.1550, 0.6550, 0.0000).

No. 5
V6NiGe3 | PBE | relaxed

Its raw total energy is -7.4937 eV/atom. The energy of formation from the pure elements is -0.059 eV per atom. The calculated volume is 579.5 Å³ per cell.

It has space group Cmc2_1 (No. 36), with a = 8.0631 Å, b = 12.1345 Å, c = 5.9233 Å, α = 90.00°, β = 90.00° and γ = 90.00°. Symmetry generates all atoms from V at (0.0000, 0.0531, 0.0000), V at (0.0000, 0.2743, 0.7760), V at (0.1819, 0.4415, 0.7949), V at (0.2179, 0.2049, 0.0287), Ni at (0.0000, 0.1841, 0.3429), Ge at (0.0000, 0.3930, 0.4173) and Ge at (0.1762, 0.1090, 0.6503).

No. 6
V2Ni6Ge | PBE | relaxed

Its raw total energy is -6.5157 eV/atom. The energy of formation from the pure elements is -0.122 eV per atom. The calculated volume is 214.4 Å³ per cell.

It has space group C2/m (No. 12), with a = 7.8526 Å, b = 11.2417 Å, c = 2.5660 Å, α = 90.00°, β = 108.84° and γ = 90.00°. Symmetry generates all atoms from V at (0.0000, 0.1618, 0.0000), Ni at (0.1710, 0.3257, 0.6706), Ni at (0.1771, 0.0000, 0.6771) and Ge at (0.0000, 0.5000, 0.5000).

No. 7
VNi9Ge2 | PBE | relaxed

Its raw total energy is -6.1352 eV/atom. The energy of formation from the pure elements is -0.270 eV per atom. The calculated volume is 136.5 Å³ per cell.

It has space group P4/mmm (No. 123), with a = 3.5687 Å, b = 3.5687 Å, c = 10.7172 Å, α = 90.00°, β = 90.00° and γ = 90.00°. Symmetry generates all atoms from V at (0.0000, 0.0000, 0.0000), Ni at (0.0000, 0.5000, 0.1622), Ni at (0.0000, 0.5000, 0.5000), Ni at (0.5000, 0.5000, 0.0000), Ni at (0.5000, 0.5000, 0.3316) and Ge at (0.0000, 0.0000, 0.3351).

No. 8
V2Ni4Ge | PBE | relaxed

Its raw total energy is -5.8251 eV/atom. The energy of formation from the pure elements is 0.743 eV per atom. The calculated volume is 219.6 Å³ per cell. For the energy above the lowest structure with this stoichiometry, the calculation gives 5.22 eV/f.u.

It has space group I4/mmm (No. 139), with a = 4.2747 Å, b = 4.2747 Å, c = 12.0163 Å, α = 90.00°, β = 90.00° and γ = 90.00°. Symmetry generates all atoms from V at (0.0000, 0.0000, 0.1207), Ni at (0.0000, 0.0000, 0.3061), Ni at (0.0000, 0.5000, 0.0000) and Ge at (0.0000, 0.0000, 0.5000).

No. 9
V2Ni4Ge | PBE | relaxed

Its raw total energy is -6.5714 eV/atom. The energy of formation from the pure elements is -0.003 eV per atom. The calculated volume is 348.9 Å³ per cell. For the energy above the lowest structure with this stoichiometry, the calculation gives 0.00 eV/f.u.

It has space group Cmce (No. 64), with a = 8.5064 Å, b = 4.7994 Å, c = 8.5460 Å, α = 90.00°, β = 90.00° and γ = 90.00°. Symmetry generates all atoms from V at (0.1676, 0.0000, 0.0000), Ni at (0.0000, 0.1093, 0.2323), Ni at (0.2500, 0.1883, 0.7500) and Ge at (0.0000, 0.0000, 0.5000).

No. 10
V2Ni2Ge | PBE | relaxed

Its raw total energy is -6.9634 eV/atom. The energy of formation from the pure elements is -0.080 eV per atom. The calculated volume is 129.8 Å³ per cell. For the energy above the lowest structure with this stoichiometry, the calculation gives 0.00 eV/f.u.

It has space group P4/mbm (No. 127), with a = 6.1963 Å, b = 6.1963 Å, c = 3.3811 Å, α = 90.00°, β = 90.00° and γ = 90.00°. Symmetry generates all atoms from V at (0.1688, 0.3312, 0.0000), Ni at (0.1323, 0.6323, 0.5000) and Ge at (0.0000, 0.0000, 0.5000).

Among the records above, which one has the highest calculated volume?
V12NiGe6

Which of these has the lowest calculated volume?
V4NiGe

Copy entry 1 word for word.
V4NiGe | PBE | relaxed

Its raw total energy is -7.9158 eV/atom. The energy of formation from the pure elements is -0.104 eV per atom. The calculated volume is 79.9 Å³ per cell.

It has space group P4/mmm (No. 123), with a = 3.1348 Å, b = 3.1348 Å, c = 8.1312 Å, α = 90.00°, β = 90.00° and γ = 90.00°. Symmetry generates all atoms from V at (0.0000, 0.0000, 0.1670), V at (0.5000, 0.5000, 0.3295), Ni at (0.5000, 0.5000, 0.0000) and Ge at (0.0000, 0.0000, 0.5000).